(1)
VASP calculation (PBE) on a geometry-optimized K3YF6 structure. Values from VASP.

Quantum ESPRESSO input file:
```
&SYSTEM
  ibrav = 0, nat = 10, ntyp = 3
/
ATOMIC_SPECIES
K 39.10 K.upf
Y 88.91 Y.upf
F 19.00 F.upf
ATOMIC_POSITIONS angstrom
K 0.000 0.000 0.000
K 2.353 2.353 2.353
K 7.059 7.059 7.059
Y 4.706 4.706 4.706
F 4.706 4.706 2.526
F 4.706 2.526 4.706
F 6.886 4.706 4.706
F 2.526 4.706 4.706
F 4.706 6.886 4.706
F 4.706 4.706 6.886
CELL_PARAMETERS angstrom
0.000 4.706 4.706
4.706 0.000 4.706
4.706 4.706 0.000
```

As for the crystal system: cubic. The value obtained for the total magnetic moment is 0.0 μB per cell. The value obtained for the formation energy from raw total energies is -3.274 eV per atom.


(2)
VASP calculation (PBE) on a geometry-optimized K2YF structure. Values from VASP.

Quantum ESPRESSO input file:
```
&SYSTEM
  ibrav = 0, nat = 8, ntyp = 3
/
ATOMIC_SPECIES
K 39.10 K.upf
Y 88.91 Y.upf
F 19.00 F.upf
ATOMIC_POSITIONS angstrom
K 0.593 1.970 1.321
K -1.970 3.348 3.963
K -0.593 5.911 1.321
K 1.970 4.533 3.963
Y 3.941 0.000 2.642
Y 0.000 0.000 5.284
F 0.000 0.000 0.000
F 0.000 3.941 2.642
CELL_PARAMETERS angstrom
-3.941 3.941 5.284
3.941 -3.941 5.284
3.941 3.941 -5.284
```

As for the crystal system: tetragonal. The value obtained for the total magnetic moment is 4.1 μB per cell. The value obtained for the formation energy from raw total energies is -0.710 eV per atom.


(3)
VASP calculation (PBE) on a geometry-optimized KYF3 structure. Values from VASP.

Quantum ESPRESSO input file:
```
&SYSTEM
  ibrav = 0, nat = 5, ntyp = 3
/
ATOMIC_SPECIES
K 39.10 K.upf
Y 88.91 Y.upf
F 19.00 F.upf
ATOMIC_POSITIONS angstrom
K 0.000 0.000 0.000
Y 2.300 2.300 2.300
F 0.000 0.000 2.300
F 0.000 2.300 0.000
F 2.300 0.000 0.000
CELL_PARAMETERS angstrom
4.599 0.000 0.000
0.000 4.599 0.000
0.000 0.000 4.599
```

As for the crystal system: cubic. The value obtained for the total magnetic moment is 0.9 μB per cell. The value obtained for the formation energy from raw total energies is -2.046 eV per atom.


(4)
VASP calculation (PBE) on a geometry-optimized KYF5 structure. Values from VASP.

Quantum ESPRESSO input file:
```
&SYSTEM
  ibrav = 0, nat = 14, ntyp = 3
/
ATOMIC_SPECIES
K 39.10 K.upf
Y 88.91 Y.upf
F 19.00 F.upf
ATOMIC_POSITIONS angstrom
K 1.863 5.371 4.589
K 2.103 -5.371 1.530
Y 1.863 1.163 4.589
Y 2.103 -1.163 1.530
F 2.103 6.698 1.530
F 1.069 0.664 2.449
F 1.694 2.932 5.962
F 0.829 -0.664 5.508
F 2.033 2.932 3.217
F 1.934 -2.932 2.902
F 3.137 0.664 0.611
F 2.273 -2.932 0.158
F 2.897 -0.664 3.671
F 1.863 -6.698 4.589
CELL_PARAMETERS angstrom
2.223 -8.367 0.000
2.223 8.367 0.000
-0.480 0.000 6.119
```

As for the crystal system: monoclinic. The value obtained for the total magnetic moment is 2.0 μB per cell. The value obtained for the formation energy from raw total energies is -3.123 eV per atom.


(5)
VASP calculation (PBE) on a geometry-optimized KYF4 structure. Values from VASP.

Quantum ESPRESSO input file:
```
&SYSTEM
  ibrav = 0, nat = 6, ntyp = 3
/
ATOMIC_SPECIES
K 39.10 K.upf
Y 88.91 Y.upf
F 19.00 F.upf
ATOMIC_POSITIONS angstrom
K 0.000 0.000 0.000
Y 1.945 1.945 3.131
F 0.000 1.945 1.858
F 0.000 1.945 4.404
F 1.945 0.000 1.858
F 1.945 0.000 4.404
CELL_PARAMETERS angstrom
3.889 0.000 0.000
0.000 3.889 0.000
0.000 0.000 6.261
```

As for the crystal system: tetragonal. The value obtained for the total magnetic moment is 0.0 μB per cell. The value obtained for the formation energy from raw total energies is -3.697 eV per atom.


(6)
VASP calculation (PBE) on a geometry-optimized KY3F10 structure. Values from VASP.

Quantum ESPRESSO input file:
```
&SYSTEM
  ibrav = 0, nat = 28, ntyp = 3
/
ATOMIC_SPECIES
K 39.10 K.upf
Y 88.91 Y.upf
F 19.00 F.upf
ATOMIC_POSITIONS angstrom
K 2.925 2.925 2.925
K 8.774 8.774 8.774
Y 5.849 5.849 2.813
Y 5.849 2.813 5.849
Y 8.885 5.849 5.849
Y 2.813 5.849 5.849
Y 5.849 8.885 5.849
Y 5.849 5.849 8.885
F 1.308 1.308 1.308
F 4.541 4.541 1.308
F 4.541 1.308 4.541
F 5.849 3.918 3.918
F 7.780 5.849 3.918
F 7.780 3.918 5.849
F 10.390 7.158 7.158
F 3.918 5.849 3.918
F 5.849 7.780 3.918
F 3.918 3.918 5.849
F 7.780 7.780 5.849
F 5.849 3.918 7.780
F 7.780 5.849 7.780
F 1.308 4.541 4.541
F 3.918 7.780 5.849
F 3.918 5.849 7.780
F 5.849 7.780 7.780
F 7.158 10.390 7.158
F 7.158 7.158 10.390
F 10.390 10.390 10.390
CELL_PARAMETERS angstrom
0.000 5.849 5.849
5.849 0.000 5.849
5.849 5.849 0.000
```

As for the crystal system: cubic. The value obtained for the total magnetic moment is 0.4 μB per cell. The value obtained for the formation energy from raw total energies is -3.964 eV per atom.


(7)
VASP calculation (PBE) on a geometry-optimized K3YF8 structure. Values from VASP.

Quantum ESPRESSO input file:
```
&SYSTEM
  ibrav = 0, nat = 12, ntyp = 3
/
ATOMIC_SPECIES
K 39.10 K.upf
Y 88.91 Y.upf
F 19.00 F.upf
ATOMIC_POSITIONS angstrom
K 0.000 0.000 0.000
K 3.015 0.000 3.058
K 0.000 3.015 3.058
Y 0.000 0.000 6.116
F 1.703 1.703 -1.345
F 1.312 -1.312 4.770
F 1.703 1.703 1.345
F 1.312 -1.312 7.461
F -1.312 1.312 4.770
F 1.312 1.312 4.770
F -1.312 1.312 7.461
F 1.312 1.312 7.461
CELL_PARAMETERS angstrom
-3.015 3.015 6.116
3.015 -3.015 6.116
3.015 3.015 -6.116
```

As for the crystal system: tetragonal. The value obtained for the total magnetic moment is 2.0 μB per cell. The value obtained for the formation energy from raw total energies is -2.755 eV per atom.


(8)
VASP calculation (PBE) on a geometry-optimized KYZn2F8 structure. Values from VASP.

Quantum ESPRESSO input file:
```
&SYSTEM
  ibrav = 0, nat = 12, ntyp = 4
/
ATOMIC_SPECIES
K 39.10 K.upf
Y 88.91 Y.upf
Zn 65.41 Zn.upf
F 19.00 F.upf
ATOMIC_POSITIONS angstrom
K 0.000 0.000 0.000
Y 0.000 0.000 12.487
Zn 0.000 0.000 6.410
Zn 0.000 0.000 18.563
F -0.883 -1.465 11.093
F -0.827 -1.497 13.880
F 0.000 0.000 8.267
F -0.827 1.497 11.093
F -0.883 1.465 13.880
F 0.000 0.000 16.707
F 1.710 -0.032 11.093
F 1.710 0.032 13.880
CELL_PARAMETERS angstrom
2.638 1.523 8.324
-2.638 1.523 8.324
0.000 -3.047 8.324
```

As for the crystal system: trigonal. The value obtained for the total magnetic moment is 0.0 μB per cell. The value obtained for the formation energy from raw total energies is -2.896 eV per atom.


For the records above, the corresponding calculated density values read 2.55, 1.88, 3.16, 3.25, 3.58, 4.11, 2.68, 3.40 g/cm3.